Here is a relaxed PmUSb crystal from OQMD via LeMat-Bulk. Energies are from PBE.

Lattice parameters (Å, degrees): 5.218 5.218 5.218 60.00 60.00 60.00
Element x y z (fractional)
1 Pm 0.000 0.000 0.000
2 U 0.250 0.250 0.250
3 Sb 0.500 0.500 0.500

Properties
Energy above the lowest structure with this stoichiometry = 0.000 eV per atom
Volume = 33.5 Å³/atom
M_tot = 5.36 μB per cell
Final energy = -6.16 eV/atom